[1]
Here is an optimized crystal structure of SrRu2Pt from Alexandria via LeMat-Bulk. Energies are from PBE.

Lattice parameters (Å, degrees): 4.9697 4.9697 4.9697 129.15 129.15 74.76
Last column: magnetic moment on the atom in μB.
Fractional positions:
Ru 0.2500 0.7500 0.5000  0.17
Ru 0.0000 0.0000 0.0000  0.37
Pt 0.7500 0.2500 0.5000  0.00
Sr 0.5000 0.5000 0.0000  0.00

Results
E above lowest polymorph, eV/atom: 0.4524
Calculated formation energy, meV/atom: 525.8


[2]
Here is an optimized crystal structure of AlCrAg3 from Alexandria via LeMat-Bulk. Energies are from PBE.

Lattice parameters (Å, degrees): 4.8076 4.8076 4.8076 90.00 90.00 90.00
Last column: magnetic moment on the atom in μB.
Fractional positions:
Ag 0.0000 0.5000 0.0000  -0.04
Ag 0.0000 0.0000 0.5000  -0.04
Ag 0.5000 0.0000 0.0000  -0.02
Cr 0.5000 0.5000 0.5000  4.08
Al 0.0000 0.0000 0.0000  -0.04

Results
E above lowest polymorph, eV/atom: 0.0000
Calculated formation energy, meV/atom: 727.9


[3]
Here is an optimized crystal structure of Hf2ReP from Alexandria via LeMat-Bulk. Energies are from PBE.

Lattice parameters (Å, degrees): 3.3041 3.3041 8.5144 78.81 78.81 60.00
Fractional positions:
Re 0.0000 0.0000 0.0000
P 0.5000 0.5000 0.5000
Hf 0.8999 0.8999 0.3004
Hf 0.1001 0.1001 0.6996

Results
Calculated formation energy, meV/atom: 198.5


[4]
Here is an optimized crystal structure of ZrInTe2 from Alexandria via LeMat-Bulk. Energies are from PBE.

Lattice parameters (Å, degrees): 5.2995 5.2995 5.2995 60.00 60.00 60.00
Last column: magnetic moment on the atom in μB.
Fractional positions:
Te 0.0000 0.0000 0.0000  -0.03
Te 0.7500 0.7500 0.7500  -0.04
In 0.5000 0.5000 0.5000  0.06
Zr 0.2500 0.2500 0.2500  0.54

Results
E_form (uncorrected), eV/atom: 0.137


[5]
Here is an optimized crystal structure of ScRe2NiI from Alexandria via LeMat-Bulk. Energies are from PBE.

Lattice parameters (Å, degrees): 4.5667 4.7679 4.5667 90.00 90.00 90.00
Fractional positions:
Re 0.0000 0.0000 0.5000
Re 0.5000 0.0000 0.0000
Sc 0.0000 0.5000 0.0000
Ni 0.0000 0.0000 0.0000
I 0.5000 0.5000 0.5000

Results
E_form (uncorrected), eV/atom: 1.206


[6]
Here is an optimized crystal structure of LaSm2HoSb4 from Alexandria via LeMat-Bulk. Energies are from PBE.

Lattice parameters (Å, degrees): 4.4916 7.7742 7.7653 70.54 90.00 90.00
Fractional positions:
Sm 0.5000 0.0000 0.5000
Sm 0.0000 0.0000 0.0000
Ho 0.0000 0.5000 0.5000
La 0.5000 0.5000 0.0000
Sb 0.5000 0.7480 0.2570
Sb 0.0000 0.7529 0.7425
Sb 0.5000 0.2520 0.7430
Sb 0.0000 0.2471 0.2575

Results
E_form (uncorrected), eV/atom: -1.176


[7]
Here is an optimized crystal structure of BaTeI2Br from Alexandria via LeMat-Bulk. Energies are from PBE.

Lattice parameters (Å, degrees): 6.8310 6.1770 6.8310 90.00 90.00 90.00
Last column: magnetic moment on the atom in μB.
Fractional positions:
I 0.5000 0.0000 0.0000  0.15
I 0.0000 0.0000 0.5000  0.19
Te 0.5000 0.5000 0.5000  1.28
Br 0.0000 0.5000 0.0000  0.04
Ba 0.0000 0.0000 0.0000  0.00

Results
E_form (uncorrected), eV/atom: -0.622
E above lowest polymorph, eV/atom: 0.0000


[8]
Here is an optimized crystal structure of Rb4NaI5 from Alexandria via LeMat-Bulk. Energies are from PBE.

Lattice parameters (Å, degrees): 5.1362 5.1362 21.3904 83.10 83.10 60.00
Fractional positions:
I 0.1930 0.1930 0.4211
I 0.5965 0.5965 0.2106
I 0.4035 0.4035 0.7894
I 0.8070 0.8070 0.5789
I 0.0000 0.0000 0.0000
Na 0.5000 0.5000 0.5000
Rb 0.7016 0.7016 0.8951
Rb 0.8953 0.8953 0.3141
Rb 0.2984 0.2984 0.1049
Rb 0.1047 0.1047 0.6859

Results
E_form (uncorrected), eV/atom: -1.437
E above lowest polymorph, eV/atom: 0.0000


no.,raw total energy (eV per atom),calculated density (g cm⁻³)
1,-6.04,11.20
2,-3.66,6.02
3,-9.24,12.15
4,-4.26,7.28
5,-6.51,10.07
6,-5.60,7.09
7,-2.59,3.45
8,-2.73,3.43